VASP calculation (PBE-GGA) on NdYHoMg after structural relaxation.

Results
Density of states at the Fermi level = 1.3612 states/eV per atom
ΔE to the lowest computed polymorph = 0.062 eV per atom
Formation energy = 0.033 eV/atom
Size of the total moment = 0.00 μB/cell
Theoretical density = 5.77 g/cm3

Lattice parameters (Å, degrees): 5.5606 5.5606 5.5606 60.00 60.00 60.00
Closest atoms and distances in Å follow each position.
Fractional coordinates of all 4 atoms:
Mg 0.5000 0.5000 0.5000  4 Nd 3.41, 4 Y 3.41
Y 0.7500 0.7500 0.7500  4 Ho 3.41, 4 Mg 3.41
Nd 0.2500 0.2500 0.2500  4 Ho 3.41, 4 Mg 3.41
Ho 0.0000 0.0000 0.0000  4 Nd 3.41, 4 Y 3.41